Record 1
SCAN YZrAg2Ru, PBEsol geometry; ΔE_f = 8.19 eV/f.u.; size of the total moment = 2.261 μB per formula unit; SG = No. 123; DFT total energy = -147.91 eV/cell
1.0
4.9305 0.0000 0.0000
0.0000 4.9305 0.0000
0.0000 0.0000 5.2512
Ru Zr Ag Y
1 1 2 1
Cartesian
2.4652 2.4652 2.6256 Ru
0.0000 0.0000 0.0000 Zr
2.4652 0.0000 0.0000 Ag
0.0000 2.4652 0.0000 Ag
0.0000 0.0000 2.6256 Y


Record 2
SCAN K2CdHg, PBEsol geometry; ΔE_f = -0.56 eV/f.u.; size of the total moment = 0.000 μB per formula unit; SG = No. 99; DFT total energy = -115.80 eV/cell
1.0
-3.4154 1.9919 -0.3919
-0.4770 -0.0418 3.9442
4.7399 8.2574 0.6607
Hg K Cd
1 2 1
Cartesian
1.3113 6.6499 2.2302 Hg
-0.4145 3.6434 1.9896 K
4.3738 7.6196 0.6097 K
2.6868 4.6807 0.3745 Cd